1.
This record from Alexandria via LeMat-Bulk describes a relaxed structure of RbHfTl2Fe. The functional is GGA-PBE.

Properties
crystal system: tetragonal
energy of formation from the pure elements: 1064 kJ/mol of formula units

a b c (Å): 5.888 5.888 5.786
angles (deg): 90.00 90.00 90.00
Space group P4/mmm (No. 123)
Asymmetric unit:
Rb 0.000 0.000 0.000
Hf 0.000 0.000 0.500
Tl 0.000 0.500 0.000
Fe 0.500 0.500 0.500


2.
This record from Alexandria via LeMat-Bulk describes a relaxed structure of Tb4Y2Mg. The functional is GGA-PBE.

Properties
crystal system: monoclinic
energy of formation from the pure elements: 68 kJ/mol of formula units

a b c (Å): 6.047 6.539 11.455
angles (deg): 90.00 105.29 90.00
Space group P2_1/m (No. 11)
Asymmetric unit:
Tb 0.031 0.250 0.376
Tb 0.147 0.250 0.942
Tb 0.355 0.000 0.213
Y 0.280 0.750 0.921
Y 0.393 0.750 0.499
Mg 0.154 0.250 0.666


3.
This record from Alexandria via LeMat-Bulk describes a relaxed structure of Cs2HfPtW. The functional is GGA-PBE.

Properties
crystal system: tetragonal
energy of formation from the pure elements: 1006 kJ/mol of formula units

a b c (Å): 6.140 6.140 4.815
angles (deg): 90.00 90.00 90.00
Space group P4/mmm (No. 123)
Asymmetric unit:
Cs 0.000 0.500 0.000
Hf 0.000 0.000 0.500
Pt 0.500 0.500 0.500
W 0.500 0.500 0.000


4.
This record from Alexandria via LeMat-Bulk describes a relaxed structure of Tb6CdIn6. The functional is GGA-PBE.

Properties
crystal system: hexagonal
energy of formation from the pure elements: -374 kJ/mol of formula units

a b c (Å): 6.3507 6.3507 10.6055
angles (deg): 90.00 90.00 120.00
Space group P6/mmm (No. 191)
Asymmetric unit:
Tb 0.0000 0.0000 0.1851
Tb 0.3333 0.6667 0.0000
Tb 0.3333 0.6667 0.5000
Cd 0.0000 0.0000 0.5000
In 0.0000 0.5000 0.2499


5.
This record from Alexandria via LeMat-Bulk describes a relaxed structure of NaLaMgN2. The functional is GGA-PBE.

Properties
crystal system: tetragonal
formation energy without anion corrections: 762 meV/atom

a b c (Å): 4.564 4.564 6.205
angles (deg): 90.00 90.00 90.00
Space group P4/mmm (No. 123)
Asymmetric unit:
Na 0.000 0.000 0.000
La 0.500 0.500 0.500
Mg 0.500 0.500 0.000
N 0.000 0.500 0.500


6.
This record from Alexandria via LeMat-Bulk describes a relaxed structure of KPm4Pb4. The functional is GGA-PBE.

Properties
crystal system: tetragonal
energy of formation from the pure elements: -259 kJ/mol of formula units

a b c (Å): 10.638 10.638 6.340
angles (deg): 90.00 90.00 90.00
Space group P4_2/n (No. 86, origin choice 2)
Asymmetric unit:
K 0.250 0.250 0.250
Pm 0.115 0.628 0.149
Pb 0.069 0.584 0.662


7.
This record from Alexandria via LeMat-Bulk describes a relaxed structure of Ce2ThFeN5. The functional is GGA-PBE.

Properties
crystal system: tetragonal
formation energy without anion corrections: -1127 meV/atom

a b c (Å): 6.507 6.507 11.281
angles (deg): 90.00 90.00 90.00
Space group I4/mcm (No. 140)
Asymmetric unit:
Ce 0.172 0.328 0.000
Th 0.000 0.000 0.250
Fe 0.000 0.500 0.250
N 0.000 0.000 0.000
N 0.147 0.353 0.356


8.
This record from Alexandria via LeMat-Bulk describes a relaxed structure of LiNiAs2. The functional is GGA-PBE.

Properties
crystal system: monoclinic
energy of formation from the pure elements: -69 kJ/mol of formula units

a b c (Å): 5.560 7.214 2.915
angles (deg): 90.00 92.48 90.00
Space group C2/m (No. 12)
Asymmetric unit:
Li 0.000 0.000 0.000
Ni 0.000 0.500 0.000
As 0.250 0.250 0.500


no.,energy (eV per atom)
1,-2.618
2,-4.621
3,-4.046
4,-3.769
5,-4.137
6,-4.180
7,-8.835
8,-4.428